(1)
{"formula": "AcPrHoSn", "functional": "PBE", "state": "optimized geometry", "energy_ev_per_atom": -4.55, "rho_g_cm3": 8.59, "volume_a3_per_atom": 31.50, "formation_enthalpy_0k_ev_per_atom": -0.1836, "sg": "F-43m, No. 216", "cell": [[5.627, 0.000, 0.000], [2.813, 4.873, 0.000], [2.813, 1.624, 4.594]], "species": ["Ac", "Sn", "Pr", "Ho"], "fractional_positions": [[0.750, 0.750, 0.750], [0.250, 0.250, 0.250], [0.500, 0.500, 0.500], [0.000, 0.000, 0.000]]}

(2)
{"formula": "SrAcPrHo", "functional": "PBE", "state": "optimized geometry", "energy_ev_per_atom": -3.61, "rho_g_cm3": 6.41, "volume_a3_per_atom": 40.17, "formation_enthalpy_0k_ev_per_atom": 0.1808, "sg": "F-43m, No. 216", "cell": [[6.102, 0.000, 0.000], [3.051, 5.285, 0.000], [3.051, 1.762, 4.982]], "species": ["Pr", "Ho", "Sr", "Ac"], "fractional_positions": [[0.500, 0.500, 0.500], [0.750, 0.750, 0.750], [0.250, 0.250, 0.250], [0.000, 0.000, 0.000]]}

(3)
{"formula": "AcTb2Pr2Ho2", "functional": "PBE", "state": "optimized geometry", "energy_ev_per_atom": -4.54, "rho_g_cm3": 7.92, "volume_a3_per_atom": 34.63, "formation_enthalpy_0k_ev_per_atom": 0.0401, "sg": "C2/m, No. 12", "cell": [[5.175, 0.000, 0.000], [-2.587, 5.793, 0.265], [0.000, -1.552, 8.015]], "species": ["Ac", "Pr", "Pr", "Ho", "Ho", "Tb", "Tb"], "fractional_positions": [[0.000, 0.000, 0.000], [0.715, 0.430, 0.152], [0.285, 0.570, 0.848], [0.142, 0.284, 0.433], [0.858, 0.716, 0.567], [0.426, 0.852, 0.295], [0.574, 0.148, 0.705]]}

(4)
{"formula": "Ac2TbPr5Ho", "functional": "PBE", "state": "optimized geometry", "energy_ev_per_atom": -4.48, "rho_g_cm3": 7.27, "volume_a3_per_atom": 37.60, "formation_enthalpy_0k_ev_per_atom": 0.1104, "sg": "Cmcm, No. 63", "cell": [[5.656, 0.000, 0.000], [-2.828, 11.369, 0.000], [0.000, 0.000, 10.525]], "species": ["Pr", "Pr", "Pr", "Pr", "Pr", "Pr", "Pr", "Pr", "Pr", "Pr", "Ac", "Ac", "Ac", "Ac", "Tb", "Tb", "Ho", "Ho"], "fractional_positions": [[0.003, 0.006, 0.008], [0.279, 0.557, 0.698], [0.500, 0.000, 0.258], [0.722, 0.443, 0.819], [0.278, 0.557, 0.319], [0.721, 0.443, 0.198], [0.997, 0.994, 0.508], [0.622, 0.244, 0.508], [0.500, 0.000, 0.758], [0.378, 0.756, 0.008], [0.116, 0.232, 0.270], [0.116, 0.232, 0.746], [0.884, 0.768, 0.770], [0.884, 0.768, 0.246], [0.397, 0.795, 0.508], [0.603, 0.205, 0.008], [0.217, 0.435, 0.008], [0.783, 0.565, 0.508]]}

(5)
{"formula": "AcTb2PrHo5", "functional": "PBE", "state": "optimized geometry", "energy_ev_per_atom": -4.30, "rho_g_cm3": 8.26, "volume_a3_per_atom": 33.76, "formation_enthalpy_0k_ev_per_atom": 0.2627, "sg": "I4/mcm, No. 140", "cell": [[-3.091, -4.915, 6.707], [8.309, -2.075, 2.309], [-2.357, 9.665, 0.130]], "species": ["Ho", "Ho", "Ho", "Ho", "Ho", "Ho", "Ho", "Ho", "Ho", "Ho", "Ac", "Ac", "Pr", "Pr", "Tb", "Tb", "Tb", "Tb"], "fractional_positions": [[0.671, 0.171, 0.745], [0.171, 0.075, 0.745], [0.925, 0.425, 0.255], [0.000, 0.000, 0.000], [0.425, 0.329, 0.255], [0.075, 0.575, 0.745], [0.575, 0.671, 0.745], [0.829, 0.925, 0.255], [0.500, 0.500, 0.000], [0.329, 0.829, 0.255], [0.750, 0.750, 0.500], [0.250, 0.250, 0.500], [0.250, 0.750, 0.500], [0.750, 0.250, 0.500], [0.116, 0.384, 0.000], [0.384, 0.884, 0.000], [0.884, 0.616, 0.000], [0.616, 0.116, 0.000]]}

(6)
{"formula": "AcTb2Pr4Ho", "functional": "PBE", "state": "optimized geometry", "energy_ev_per_atom": -4.52, "rho_g_cm3": 7.44, "volume_a3_per_atom": 35.52, "formation_enthalpy_0k_ev_per_atom": 0.1153, "sg": "P4/mmm, No. 123", "cell": [[-5.162, 0.237, 3.161], [1.993, -4.442, 3.587], [5.147, 0.815, 8.343]], "species": ["Pr", "Pr", "Pr", "Pr", "Tb", "Tb", "Ho", "Ac"], "fractional_positions": [[0.000, 0.768, 0.731], [0.500, 0.269, 0.731], [0.000, 0.232, 0.269], [0.500, 0.731, 0.269], [0.000, 0.000, 0.000], [0.500, 0.000, 0.500], [0.000, 0.500, 0.500], [0.500, 0.500, 0.000]]}

(7)
{"formula": "AcTb2PrHo", "functional": "PBE", "state": "optimized geometry", "energy_ev_per_atom": -4.16, "rho_g_cm3": 7.55, "volume_a3_per_atom": 37.41, "formation_enthalpy_0k_ev_per_atom": 0.3824, "sg": "Cmcm, No. 63", "cell": [[6.512, 0.000, 0.000], [0.000, 6.509, 0.000], [0.000, -3.255, 8.825]], "species": ["Ho", "Ho", "Tb", "Tb", "Tb", "Tb", "Pr", "Pr", "Ac", "Ac"], "fractional_positions": [[0.750, 0.748, 0.496], [0.250, 0.252, 0.504], [0.500, 0.751, 0.000], [0.000, 0.249, 0.000], [0.500, 0.249, 0.000], [0.000, 0.751, 0.000], [0.250, 0.847, 0.694], [0.750, 0.153, 0.306], [0.250, 0.659, 0.317], [0.750, 0.341, 0.683]]}

(8)
{"formula": "AcTbPr5Ho2", "functional": "PBE", "state": "optimized geometry", "energy_ev_per_atom": -4.50, "rho_g_cm3": 7.15, "volume_a3_per_atom": 36.65, "formation_enthalpy_0k_ev_per_atom": 0.1423, "sg": "Cmc2_1, No. 36", "cell": [[-3.455, 3.769, -2.300], [-7.910, -7.703, 6.094], [0.729, 5.448, 7.834]], "species": ["Tb", "Tb", "Ho", "Ho", "Ho", "Ho", "Pr", "Pr", "Pr", "Pr", "Pr", "Pr", "Pr", "Pr", "Pr", "Pr", "Ac", "Ac"], "fractional_positions": [[0.764, 0.529, 0.533], [0.236, 0.471, 0.033], [0.174, 0.348, 0.673], [0.826, 0.652, 0.173], [0.112, 0.224, 0.286], [0.888, 0.776, 0.786], [0.607, 0.213, 0.532], [0.689, 0.379, 0.223], [0.259, 0.518, 0.358], [0.393, 0.787, 0.032], [0.524, 0.049, 0.255], [0.741, 0.482, 0.858], [0.009, 0.019, 0.538], [0.311, 0.621, 0.723], [0.476, 0.951, 0.755], [0.991, 0.981, 0.038], [0.602, 0.205, 0.926], [0.398, 0.795, 0.426]]}

(9)
{"formula": "Ac2Tb5PrHo", "functional": "PBE", "state": "optimized geometry", "energy_ev_per_atom": -4.37, "rho_g_cm3": 8.06, "volume_a3_per_atom": 35.57, "formation_enthalpy_0k_ev_per_atom": 0.1558, "sg": "Cmc2_1, No. 36", "cell": [[5.807, 0.000, 0.000], [-2.904, 10.078, 0.000], [0.000, 0.000, 10.939]], "species": ["Tb", "Tb", "Tb", "Tb", "Tb", "Tb", "Tb", "Tb", "Tb", "Tb", "Pr", "Pr", "Ac", "Ac", "Ac", "Ac", "Ho", "Ho"], "fractional_positions": [[0.284, 0.567, 0.310], [0.980, 0.961, 0.525], [0.389, 0.778, 0.020], [0.716, 0.433, 0.810], [0.297, 0.594, 0.707], [0.020, 0.039, 0.025], [0.481, 0.963, 0.739], [0.611, 0.222, 0.520], [0.703, 0.406, 0.207], [0.519, 0.037, 0.239], [0.415, 0.830, 0.462], [0.585, 0.170, 0.962], [0.884, 0.768, 0.819], [0.116, 0.232, 0.319], [0.113, 0.226, 0.731], [0.887, 0.774, 0.231], [0.794, 0.588, 0.511], [0.206, 0.412, 0.011]]}

(10)
{"formula": "AcTb5PrHo2", "functional": "PBE", "state": "optimized geometry", "energy_ev_per_atom": -4.31, "rho_g_cm3": 8.03, "volume_a3_per_atom": 34.29, "formation_enthalpy_0k_ev_per_atom": 0.2674, "sg": "I4/mcm, No. 140", "cell": [[-1.924, -3.423, -8.026], [7.004, -5.507, 0.669], [-7.042, -0.854, 7.026]], "species": ["Tb", "Tb", "Tb", "Tb", "Tb", "Tb", "Tb", "Tb", "Tb", "Tb", "Ho", "Ho", "Ho", "Ho", "Pr", "Pr", "Ac", "Ac"], "fractional_positions": [[0.927, 0.427, 0.250], [0.177, 0.073, 0.750], [0.000, 0.000, 0.000], [0.323, 0.823, 0.250], [0.677, 0.177, 0.750], [0.500, 0.500, 0.000], [0.427, 0.323, 0.250], [0.823, 0.927, 0.250], [0.573, 0.677, 0.750], [0.073, 0.573, 0.750], [0.885, 0.615, 0.000], [0.615, 0.115, 0.000], [0.385, 0.885, 0.000], [0.115, 0.385, 0.000], [0.250, 0.750, 0.500], [0.750, 0.250, 0.500], [0.750, 0.750, 0.500], [0.250, 0.250, 0.500]]}

(11)
{"formula": "Ac2TbPrHo", "functional": "PBE", "state": "optimized geometry", "energy_ev_per_atom": -4.17, "rho_g_cm3": 7.79, "volume_a3_per_atom": 39.16, "formation_enthalpy_0k_ev_per_atom": 0.2662, "sg": "Pmma, No. 51", "cell": [[-6.134, -2.553, 0.998], [2.760, -7.914, -3.282], [1.743, -1.860, 5.954]], "species": ["Ac", "Ac", "Ac", "Ac", "Ho", "Ho", "Pr", "Pr", "Tb", "Tb"], "fractional_positions": [[0.713, 0.297, 0.750], [0.287, 0.703, 0.250], [0.287, 0.297, 0.250], [0.713, 0.703, 0.750], [0.000, 0.000, 0.500], [0.000, 0.000, 0.000], [0.420, 0.000, 0.750], [0.580, 0.000, 0.250], [0.185, 0.500, 0.750], [0.815, 0.500, 0.250]]}

(12)
{"formula": "AcTbPr6Ho2", "functional": "PBE", "state": "optimized geometry", "energy_ev_per_atom": -4.54, "rho_g_cm3": 7.20, "volume_a3_per_atom": 36.01, "formation_enthalpy_0k_ev_per_atom": 0.1169, "sg": "C2/c, No. 15", "cell": [[9.345, -2.160, -2.241], [0.994, 8.804, -2.050], [0.994, -2.375, 8.722]], "species": ["Pr", "Pr", "Pr", "Pr", "Pr", "Pr", "Pr", "Pr", "Pr", "Pr", "Pr", "Pr", "Ho", "Ho", "Ho", "Ho", "Ac", "Ac", "Tb", "Tb"], "fractional_positions": [[0.882, 0.293, 0.511], [0.554, 0.755, 0.118], [0.382, 0.511, 0.293], [0.618, 0.489, 0.707], [0.446, 0.245, 0.882], [0.183, 0.554, 0.007], [0.317, 0.993, 0.446], [0.817, 0.446, 0.993], [0.054, 0.118, 0.755], [0.118, 0.707, 0.489], [0.946, 0.882, 0.245], [0.683, 0.007, 0.554], [0.952, 0.691, 0.796], [0.548, 0.204, 0.309], [0.452, 0.796, 0.691], [0.048, 0.309, 0.204], [0.750, 0.029, 0.971], [0.250, 0.971, 0.029], [0.750, 0.588, 0.412], [0.250, 0.412, 0.588]]}

(13)
{"formula": "AcTbPr2Ho", "functional": "PBE", "state": "optimized geometry", "energy_ev_per_atom": -4.53, "rho_g_cm3": 7.65, "volume_a3_per_atom": 36.16, "formation_enthalpy_0k_ev_per_atom": 0.0445, "sg": "P2_1/m, No. 11", "cell": [[5.956, 0.000, 0.000], [0.000, 9.914, -0.077], [0.000, -2.077, 6.139]], "species": ["Ho", "Ho", "Pr", "Pr", "Pr", "Pr", "Ac", "Ac", "Tb", "Tb"], "fractional_positions": [[0.250, 0.898, 0.372], [0.750, 0.102, 0.628], [0.250, 0.299, 0.567], [0.750, 0.496, 0.836], [0.750, 0.701, 0.433], [0.250, 0.504, 0.164], [0.250, 0.105, 0.967], [0.750, 0.895, 0.033], [0.250, 0.694, 0.757], [0.750, 0.306, 0.243]]}

(14)
{"formula": "AcTb2PrHo4", "functional": "PBE", "state": "optimized geometry", "energy_ev_per_atom": -4.12, "rho_g_cm3": 8.05, "volume_a3_per_atom": 34.70, "formation_enthalpy_0k_ev_per_atom": 0.4392, "sg": "C2/c, No. 15", "cell": [[9.471, -0.031, -1.761], [-0.038, 9.471, -1.761], [-5.985, -5.989, 8.423]], "species": ["Ho", "Ho", "Ho", "Ho", "Ho", "Ho", "Ho", "Ho", "Tb", "Tb", "Tb", "Tb", "Ac", "Ac", "Pr", "Pr"], "fractional_positions": [[0.258, 0.767, 0.513], [0.258, 0.240, 0.504], [0.742, 0.233, 0.487], [0.742, 0.760, 0.496], [0.740, 0.758, 0.004], [0.733, 0.242, 0.987], [0.267, 0.758, 0.013], [0.260, 0.242, 0.996], [0.500, 0.500, 0.000], [0.500, 0.000, 0.000], [0.500, 0.000, 0.500], [0.000, 0.000, 0.500], [0.000, 0.500, 0.000], [0.000, 0.500, 0.500], [0.500, 0.500, 0.500], [0.000, 0.000, 0.000]]}

(15)
{"formula": "Ac3Pr4HoTe8", "functional": "PBE", "state": "optimized geometry", "e_form_raw_mev_per_atom": -1417, "energy_ev_per_atom": -5.24, "rho_g_cm3": 7.38, "volume_a3_per_atom": 34.17, "sg": "R-3m, No. 166", "cell": [[-7.207, 0.852, 5.652], [0.938, -8.755, 2.516], [7.110, 5.780, 0.709]], "species": ["Te", "Te", "Te", "Te", "Te", "Te", "Te", "Te", "Pr", "Pr", "Pr", "Pr", "Ac", "Ac", "Ac", "Ho"], "fractional_positions": [[0.244, 0.751, 0.487], [0.754, 0.762, 0.508], [0.764, 0.751, 0.008], [0.756, 0.249, 0.992], [0.246, 0.238, 0.492], [0.244, 0.751, 0.008], [0.756, 0.249, 0.513], [0.236, 0.249, 0.992], [0.500, 0.000, 0.000], [0.000, 0.000, 0.500], [0.500, 0.000, 0.500], [0.000, 0.000, 0.000], [0.500, 0.500, 0.500], [0.500, 0.500, 0.000], [0.000, 0.500, 0.500], [0.000, 0.500, 0.000]]}

(16)
{"formula": "Ac2PrHoTe5", "functional": "PBE", "state": "optimized geometry", "e_form_raw_mev_per_atom": -1038, "energy_ev_per_atom": -4.74, "rho_g_cm3": 6.50, "volume_a3_per_atom": 39.70, "sg": "P4/mmm, No. 123", "cell": [[-2.510, 4.739, 1.153], [-4.823, -2.606, 0.211], [1.579, -1.986, 11.598]], "species": ["Ho", "Pr", "Ac", "Ac", "Te", "Te", "Te", "Te", "Te"], "fractional_positions": [[0.000, 0.000, 0.500], [0.000, 0.000, 0.000], [0.500, 0.500, 0.301], [0.500, 0.500, 0.699], [0.000, 0.000, 0.750], [0.500, 0.500, 0.000], [0.000, 0.000, 0.250], [0.500, 0.000, 0.500], [0.000, 0.500, 0.500]]}

(17)
{"formula": "Ac3Pr2HoTe6", "functional": "PBE", "state": "optimized geometry", "e_form_raw_mev_per_atom": -1429, "energy_ev_per_atom": -5.21, "rho_g_cm3": 7.61, "volume_a3_per_atom": 34.42, "sg": "C2/m, No. 12", "cell": [[4.562, 0.000, 0.000], [0.000, 9.274, 0.307], [-2.281, -2.699, 9.672]], "species": ["Ac", "Ac", "Ac", "Te", "Te", "Te", "Te", "Te", "Te", "Pr", "Pr", "Ho"], "fractional_positions": [[0.500, 0.500, 0.000], [0.171, 0.835, 0.343], [0.829, 0.165, 0.657], [0.999, 0.769, 0.998], [0.001, 0.231, 0.002], [0.657, 0.087, 0.315], [0.343, 0.913, 0.685], [0.332, 0.424, 0.664], [0.668, 0.576, 0.336], [0.831, 0.664, 0.662], [0.169, 0.336, 0.338], [0.500, 0.000, 0.000]]}

(18)
{"formula": "Ac3Pr3HoTe8", "functional": "PBE", "state": "optimized geometry", "e_form_raw_mev_per_atom": -1474, "energy_ev_per_atom": -5.23, "rho_g_cm3": 6.88, "volume_a3_per_atom": 36.85, "sg": "R-3m, No. 166", "cell": [[9.146, 0.000, 0.000], [-4.573, 7.921, -0.028], [0.000, -5.254, 7.648]], "species": ["Te", "Te", "Te", "Te", "Te", "Te", "Te", "Te", "Ac", "Ac", "Ac", "Pr", "Pr", "Pr", "Ho"], "fractional_positions": [[0.758, 0.007, 0.265], [0.746, 0.492, 0.738], [0.254, 0.508, 0.262], [0.250, 0.008, 0.265], [0.242, 0.484, 0.735], [0.758, 0.516, 0.265], [0.750, 0.992, 0.735], [0.242, 0.993, 0.735], [0.500, 0.500, 0.000], [0.000, 0.500, 0.000], [0.000, 0.000, 0.000], [0.500, 0.000, 0.500], [0.500, 0.500, 0.500], [0.000, 0.500, 0.500], [0.000, 0.000, 0.500]]}

(19)
{"formula": "AcPr2HoTe5", "functional": "PBE", "state": "optimized geometry", "e_form_raw_mev_per_atom": -950, "energy_ev_per_atom": -4.72, "rho_g_cm3": 5.82, "volume_a3_per_atom": 41.56, "sg": "P4/mmm, No. 123", "cell": [[5.533, 0.000, 0.000], [0.000, 5.533, 0.000], [0.000, 0.000, 12.218]], "species": ["Te", "Te", "Te", "Te", "Te", "Pr", "Pr", "Ho", "Ac"], "fractional_positions": [[0.500, 0.000, 0.500], [0.000, 0.500, 0.500], [0.000, 0.000, 0.743], [0.500, 0.500, 0.000], [0.000, 0.000, 0.257], [0.500, 0.500, 0.349], [0.500, 0.500, 0.651], [0.000, 0.000, 0.500], [0.000, 0.000, 0.000]]}

(20)
{"formula": "AcPr3Ho2Te6", "functional": "PBE", "state": "optimized geometry", "e_form_raw_mev_per_atom": -1378, "energy_ev_per_atom": -5.25, "rho_g_cm3": 7.48, "volume_a3_per_atom": 32.28, "sg": "C2/m, No. 12", "cell": [[7.787, -0.014, -0.003], [-3.903, 6.738, -0.003], [-1.298, -2.247, 7.392]], "species": ["Pr", "Pr", "Pr", "Ac", "Te", "Te", "Te", "Te", "Te", "Te", "Ho", "Ho"], "fractional_positions": [[0.500, 0.500, 0.500], [0.848, 0.152, 0.500], [0.152, 0.848, 0.500], [0.000, 0.000, 0.000], [0.276, 0.276, 0.767], [0.435, 0.082, 0.248], [0.082, 0.435, 0.248], [0.565, 0.918, 0.752], [0.918, 0.565, 0.752], [0.724, 0.724, 0.233], [0.332, 0.668, 0.000], [0.668, 0.332, 0.000]]}